# CaMo2O4

A geometry-optimized CaMo2O4 structure (GGA+U, the Alexandria database).

a = 6.4595 Å, b = 11.2361 Å, c = 5.6049 Å
α = 90.00°, β = 90.00°, γ = 90.00°
Space group Pmmn (No. 59, origin choice 2)
Symmetry-distinct sites (fractional):
Ca (0.2500, 0.2500, 0.0306)
Ca (0.2500, 0.7500, 0.3520)
Mo (0.0000, 0.0000, 0.5000)
Mo (0.2500, 0.5146, 0.9891)
O (0.0058, 0.1054, 0.8350)
O (0.2500, 0.0906, 0.3088)
O (0.2500, 0.6040, 0.6455)

crystal system: orthorhombic
E_tot: -0.5241 Ry per atom